A plane-wave DFT calculation with GGA-PBEsol was carried out for Sr5Tl after structural relaxation.

Unit cell a=4.137 b=7.413 c=9.929 alpha=111.33 beta=90.00 gamma=106.20
Positions (direct):
Sr (0.000, 0.000, 0.500)
Sr (0.333, 0.666, 0.715)
Sr (0.667, 0.334, 0.285)
Sr (0.367, 0.735, 0.132)
Sr (0.633, 0.265, 0.868)
Tl (0.000, 0.000, 0.000)

Computed properties:
Symmetry: C2/m
ΔE_f (eV per atom): -0.144
Energy above the lowest structure with this stoichiometry (eV per formula unit): 0.06

A plane-wave DFT calculation with GGA-PBEsol was carried out for BaSb2Br after structural relaxation.

Unit cell a=4.416 b=4.416 c=7.559 alpha=106.62 beta=106.62 gamma=91.19
Positions (direct):
Sb (0.000, 0.500, 0.500)
Sb (0.500, 0.000, 0.500)
Ba (0.000, 0.000, 0.000)
Br (0.500, 0.500, 0.000)

Computed properties:
Symmetry: Fmmm
Formation energy (no corrections) (eV per atom): -0.82
Energy above the lowest structure with this stoichiometry (eV per formula unit): 0.34

A plane-wave DFT calculation with GGA-PBEsol was carried out for HoUTe4 after structural relaxation.

Unit cell a=4.079 b=6.018 c=7.816 alpha=112.64 beta=105.12 gamma=90.00
Last column: magnetic moment on the atom in μB.
Positions (direct):
Te (0.200, 0.700, 0.401)  -0.05
Ho (0.863, 0.863, 0.726)  0.04
Te (0.797, 0.297, 0.594)  -0.06
Te (0.502, 0.753, 0.003)  -0.03
U (0.136, 0.136, 0.273)  2.13
Te (0.502, 0.251, 0.003)  -0.03

Computed properties:
Symmetry: Imm2
Formation energy (no corrections) (eV per atom): -0.88

A plane-wave DFT calculation with GGA-PBEsol was carried out for IrRu2 after structural relaxation.

Unit cell a=2.677 b=2.677 c=6.562 alpha=90.00 beta=90.00 gamma=120.00
Positions (direct):
Ir (0.000, 0.000, 0.000)
Ru (0.333, 0.667, 0.662)
Ru (0.667, 0.333, 0.338)

Computed properties:
Symmetry: P-3m1
ΔE_f (eV per atom): 0.025
Energy above the lowest structure with this stoichiometry (eV per formula unit): 0.24

A plane-wave DFT calculation with GGA-PBEsol was carried out for Li7Sn3 after structural relaxation.

Unit cell a=4.671 b=8.427 c=9.344 alpha=106.04 beta=90.00 gamma=90.00
Positions (direct):
Li (0.250, 0.402, 0.987)
Li (0.250, 0.202, 0.680)
Li (0.250, 0.004, 0.377)
Li (0.750, 0.395, 0.724)
Li (0.750, 0.598, 0.013)
Sn (0.750, 0.196, 0.917)
Li (0.250, 0.993, 0.870)
Li (0.250, 0.401, 0.464)
Li (0.250, 0.187, 0.166)
Li (0.750, 0.813, 0.834)
Sn (0.250, 0.804, 0.083)
Li (0.750, 0.007, 0.130)
Li (0.750, 0.599, 0.536)
Li (0.750, 0.798, 0.320)
Sn (0.250, 0.803, 0.568)
Sn (0.250, 0.595, 0.774)
Li (0.250, 0.605, 0.276)
Sn (0.750, 0.405, 0.226)
Sn (0.750, 0.197, 0.432)
Li (0.750, 0.996, 0.623)

Computed properties:
Symmetry: P2_1/m
ΔE_f (eV per atom): -0.421

A plane-wave DFT calculation with GGA-PBEsol was carried out for Mg2CdCl after structural relaxation.

Unit cell a=3.174 b=5.159 c=5.730 alpha=90.00 beta=106.08 gamma=90.00
Positions (direct):
Mg (0.538, 0.500, 0.076)
Cd (0.975, 0.000, 0.950)
Mg (0.249, 0.000, 0.498)
Cl (0.229, 0.500, 0.458)

Computed properties:
Symmetry: Amm2
Formation energy (no corrections) (eV per atom): -0.44
Energy above the lowest structure with this stoichiometry (eV per formula unit): 0.00

A plane-wave DFT calculation with GGA-PBEsol was carried out for ZrSiAs2 after structural relaxation.

Unit cell a=3.436 b=4.584 c=5.204 alpha=116.13 beta=109.27 gamma=90.00
Positions (direct):
As (0.015, 0.015, 0.030)
Zr (0.239, 0.739, 0.477)
Si (0.479, 0.479, 0.958)
As (0.767, 0.267, 0.535)

Computed properties:
Symmetry: Imm2
Formation energy (no corrections) (eV per atom): -0.38
Energy above the lowest structure with this stoichiometry (eV per formula unit): 1.29

A plane-wave DFT calculation with GGA-PBEsol was carried out for KLaCr2 after structural relaxation.

Unit cell a=3.726 b=3.723 c=9.379 alpha=102.18 beta=90.00 gamma=120.03
Positions (direct):
Cr (0.298, 0.597, 0.894)
K (0.521, 0.043, 0.582)
La (0.715, 0.431, 0.130)
Cr (0.965, 0.930, 0.894)

Computed properties:
Symmetry: Cm
ΔE_f (eV per atom): 0.797
Energy above the lowest structure with this stoichiometry (eV per formula unit): 0.00

A plane-wave DFT calculation with GGA-PBEsol was carried out for CuRh after structural relaxation.

Unit cell a=2.630 b=2.630 c=4.473 alpha=72.90 beta=72.90 gamma=60.00
Positions (direct):
Cu (0.000, 0.000, 0.000)
Rh (0.500, 0.500, 0.500)

Computed properties:
Symmetry: R-3m
ΔE_f (eV per atom): 0.078

A plane-wave DFT calculation with GGA-PBEsol was carried out for Sb2PbAu after structural relaxation.

Unit cell a=3.755 b=3.755 c=7.126 alpha=90.00 beta=90.00 gamma=90.00
Positions (direct):
Sb (0.500, 0.500, 0.262)
Sb (0.000, 0.000, 0.045)
Pb (0.500, 0.500, 0.708)
Au (0.000, 0.000, 0.485)

Computed properties:
Symmetry: P4mm
Formation energy (no corrections) (eV per atom): 0.08

A plane-wave DFT calculation with GGA-PBEsol was carried out for KFe2Ni after structural relaxation.

Unit cell a=2.599 b=4.683 c=4.804 alpha=90.00 beta=90.00 gamma=90.00
Last column: magnetic moment on the atom in μB.
Positions (direct):
K (0.500, 0.000, 0.500)  -0.04
Fe (0.000, 0.000, 0.000)  2.65
Fe (0.500, 0.500, 0.000)  2.65
Ni (0.000, 0.500, 0.500)  0.51

Computed properties:
Symmetry: Pmmm
ΔE_f (eV per atom): 1.194
Energy above the lowest structure with this stoichiometry (eV per formula unit): 1.85

A plane-wave DFT calculation with GGA-PBEsol was carried out for TlNi2Ir after structural relaxation.

Unit cell a=2.825 b=2.825 c=8.456 alpha=80.38 beta=80.38 gamma=60.00
Positions (direct):
Ni (0.255, 0.255, 0.235)
Tl (0.500, 0.500, 0.500)
Ir (0.000, 0.000, 0.000)
Ni (0.745, 0.745, 0.765)

Computed properties:
Symmetry: R-3m
ΔE_f (eV per atom): 0.427
Energy above the lowest structure with this stoichiometry (eV per formula unit): 0.61

DOS(E_F) values (in states/eV/cell) by entry order: 6.337 1.837 6.510 2.844 3.406 1.282 1.717 4.705 2.706 1.766 4.035 4.869.